Material: HfPaCo2O8
Method: DFT, PBE+U
State: optimized geometry

```
12
Lattice="-3.4284 3.4284 3.2529 3.4284 -3.4284 3.2529 3.4284 3.4284 -3.2529" Properties=species:S:1:pos:R:3 pbc="T T T"
Hf 0.0000 0.0000 0.0000
Pa 3.4284 0.0000 1.6265
Co 0.0000 0.0000 3.2529
Co 0.0000 3.4284 1.6265
O 2.1603 3.4284 -1.3510
O 1.2681 0.0000 1.9019
O 0.0000 2.0964 0.4366
O 3.4284 2.1603 1.3510
O 0.0000 4.7604 0.4366
O 0.0000 1.2681 4.6040
O -1.3320 3.4284 2.8164
O 1.3320 3.4284 2.8164
```

Results
Energy (eV/atom): -7.987